[1]
A plane-wave DFT calculation with PBE-GGA was carried out for a geometry-optimized NaHoSbSe3 structure.

Electronic total energy = -4.251 eV per atom

Structure (CIF):
```
data_NaHoSbSe3
_chemical_formula_sum 'Na2 Ho2 Sb2 Se6'
_cell_length_a 7.639
_cell_length_b 7.639
_cell_length_c 10.770
_cell_angle_alpha 90.00
_cell_angle_beta 90.00
_cell_angle_gamma 148.48
_symmetry_space_group_name_H-M 'P 1'
_symmetry_Int_Tables_number 1
_symmetry_space_group_name_Hall 'P 1'
loop_
_atom_site_label
_atom_site_fract_x
_atom_site_fract_y
_atom_site_fract_z
_atom_site_occupancy
Ho1 0.500 0.500 0.000 1
Ho2 0.500 0.500 0.500 1
Na1 0.256 0.744 0.250 1
Na2 0.744 0.256 0.750 1
Sb1 0.963 0.037 0.250 1
Sb2 0.037 0.963 0.750 1
Se1 0.863 0.137 0.037 1
Se2 0.611 0.389 0.250 1
Se3 0.863 0.137 0.463 1
Se4 0.137 0.863 0.537 1
Se5 0.389 0.611 0.750 1
Se6 0.137 0.863 0.963 1
```



[2]
A plane-wave DFT calculation with PBE-GGA was carried out for a geometry-optimized Hf3Co2Si3 structure.

Electronic total energy = -8.392 eV per atom

Structure (CIF):
```
data_Hf3Co2Si3
_chemical_formula_sum 'Hf6 Co4 Si6'
_cell_length_a 3.820
_cell_length_b 5.306
_cell_length_c 12.791
_cell_angle_alpha 90.00
_cell_angle_beta 90.00
_cell_angle_gamma 111.10
_symmetry_space_group_name_H-M 'P 1'
_symmetry_Int_Tables_number 1
_symmetry_space_group_name_Hall 'P 1'
loop_
_atom_site_label
_atom_site_fract_x
_atom_site_fract_y
_atom_site_fract_z
_atom_site_occupancy
Co1 0.780 0.559 0.082 1
Co2 0.780 0.559 0.418 1
Co3 0.220 0.441 0.582 1
Co4 0.220 0.441 0.918 1
Hf1 0.076 0.151 0.117 1
Hf2 0.365 0.730 0.250 1
Hf3 0.076 0.151 0.383 1
Hf4 0.924 0.849 0.617 1
Hf5 0.635 0.270 0.750 1
Hf6 0.924 0.849 0.883 1
Si1 0.390 0.780 0.042 1
Si2 0.664 0.329 0.250 1
Si3 0.390 0.780 0.458 1
Si4 0.610 0.220 0.542 1
Si5 0.336 0.671 0.750 1
Si6 0.610 0.220 0.958 1
```



[3]
A plane-wave DFT calculation with PBE-GGA was carried out for a geometry-optimized HfZr2Ni3As4Pd structure.

Electronic total energy = -6.920 eV per atom
Distance to the lowest polymorph of the same formula = 13 meV per atom

Structure (CIF):
```
data_HfZr2Ni3As4Pd
_chemical_formula_sum 'Hf1 Zr2 Ni3 As4 Pd1'
_cell_length_a 6.464
_cell_length_b 3.845
_cell_length_c 7.482
_cell_angle_alpha 90.00
_cell_angle_beta 90.89
_cell_angle_gamma 90.00
_symmetry_space_group_name_H-M 'P 1'
_symmetry_Int_Tables_number 1
_symmetry_space_group_name_Hall 'P 1'
loop_
_atom_site_label
_atom_site_fract_x
_atom_site_fract_y
_atom_site_fract_z
_atom_site_occupancy
As1 0.247 0.500 0.128 1
As2 0.767 0.500 0.380 1
As3 0.225 0.000 0.620 1
As4 0.777 0.000 0.874 1
Hf1 0.969 0.000 0.185 1
Ni1 0.646 0.500 0.063 1
Ni2 0.142 0.500 0.445 1
Ni3 0.855 0.000 0.560 1
Pd1 0.372 0.000 0.937 1
Zr1 0.468 0.000 0.317 1
Zr2 0.531 0.500 0.687 1
```



[4]
A plane-wave DFT calculation with PBE-GGA was carried out for a geometry-optimized TaCdInFe structure.

Electronic total energy = -5.381 eV per atom
Distance to the lowest polymorph of the same formula = 148 meV per atom

Structure (CIF):
```
data_TaCdInFe
_chemical_formula_sum 'Ta1 Cd1 In1 Fe1'
_cell_length_a 4.662
_cell_length_b 4.662
_cell_length_c 4.662
_cell_angle_alpha 60.00
_cell_angle_beta 60.00
_cell_angle_gamma 60.00
_symmetry_space_group_name_H-M 'P 1'
_symmetry_Int_Tables_number 1
_symmetry_space_group_name_Hall 'P 1'
loop_
_atom_site_label
_atom_site_fract_x
_atom_site_fract_y
_atom_site_fract_z
_atom_site_occupancy
Cd1 0.500 0.500 0.500 1
Fe1 0.750 0.750 0.750 1
In1 0.000 0.000 0.000 1
Ta1 0.250 0.250 0.250 1
```



[5]
A plane-wave DFT calculation with PBE-GGA was carried out for a geometry-optimized RbTbGd structure.

Electronic total energy = -2.172 eV per atom

Structure (CIF):
```
data_RbTbGd
_chemical_formula_sum 'Rb1 Tb1 Gd1'
_cell_length_a 5.980
_cell_length_b 5.980
_cell_length_c 5.980
_cell_angle_alpha 60.00
_cell_angle_beta 60.00
_cell_angle_gamma 60.00
_symmetry_space_group_name_H-M 'P 1'
_symmetry_Int_Tables_number 1
_symmetry_space_group_name_Hall 'P 1'
loop_
_atom_site_label
_atom_site_fract_x
_atom_site_fract_y
_atom_site_fract_z
_atom_site_occupancy
Gd1 0.000 0.000 0.000 1
Rb1 0.250 0.250 0.250 1
Tb1 0.750 0.750 0.750 1
```



[6]
A plane-wave DFT calculation with PBE-GGA was carried out for a geometry-optimized DyTlCuTe3 structure.

Electronic total energy = -4.037 eV per atom

Structure (CIF):
```
data_DyTlCuTe3
_chemical_formula_sum 'Dy4 Tl4 Cu4 Te12'
_cell_length_a 11.395
_cell_length_b 4.179
_cell_length_c 15.565
_cell_angle_alpha 90.00
_cell_angle_beta 90.00
_cell_angle_gamma 90.00
_symmetry_space_group_name_H-M 'P 1'
_symmetry_Int_Tables_number 1
_symmetry_space_group_name_Hall 'P 1'
loop_
_atom_site_label
_atom_site_fract_x
_atom_site_fract_y
_atom_site_fract_z
_atom_site_occupancy
Cu1 0.738 0.250 0.218 1
Cu2 0.238 0.250 0.282 1
Cu3 0.762 0.750 0.718 1
Cu4 0.262 0.750 0.782 1
Dy1 0.981 0.750 0.244 1
Dy2 0.481 0.750 0.256 1
Dy3 0.519 0.250 0.744 1
Dy4 0.019 0.250 0.756 1
Te1 0.915 0.250 0.110 1
Te2 0.548 0.250 0.121 1
Te3 0.235 0.750 0.177 1
Te4 0.735 0.750 0.323 1
Te5 0.048 0.250 0.379 1
Te6 0.415 0.250 0.390 1
Te7 0.585 0.750 0.610 1
Te8 0.952 0.750 0.621 1
Te9 0.265 0.250 0.677 1
Te10 0.765 0.250 0.823 1
Te11 0.452 0.750 0.879 1
Te12 0.085 0.750 0.890 1
Tl1 0.721 0.750 0.001 1
Tl2 0.221 0.750 0.499 1
Tl3 0.779 0.250 0.501 1
Tl4 0.279 0.250 0.999 1
```